# TiNbTeP2 PBE optimized geometry
# D(E_F): 8.0 states/eV per cell
# Formation energy (no corrections): 7.85 eV per formula unit
# Crystal system: tetragonal
# Uncorrected energy: -4.816 eV per atom
# Volume: 127 Å³ per cell
data_TiNbTeP2
_space_group_name_H-M_alt 'P 4/m m m'
_space_group_IT_number 123
_space_group_name_Hall '-P 4 2'
_cell_length_a 5.0203
_cell_length_b 5.0203
_cell_length_c 5.0482
_cell_angle_alpha 90.00
_cell_angle_beta 90.00
_cell_angle_gamma 90.00
loop_
_atom_site_label
_atom_site_fract_x
_atom_site_fract_y
_atom_site_fract_z
Ti1 0.0000 0.0000 0.0000
Nb1 0.5000 0.5000 0.0000
Te1 0.5000 0.5000 0.5000
P1 0.0000 0.5000 0.5000